# CrPdF3

An optimized crystal structure of CrPdF3 (GGA+U, Alexandria via LeMat-Bulk).

Cell lengths 4.0641, 4.0641, 4.0641 Å; angles 90.00, 90.00, 90.00 degrees
Closest atoms and distances in Å follow each position.
Space group Pm-3m (No. 221)
Asymmetric unit:
Cr 0.0000 0.0000 0.0000 x1  6 F 2.03
Pd 0.5000 0.5000 0.5000 x1  12 F 2.87
F 0.0000 0.0000 0.5000 x3  2 Cr 2.03

D(E_F) = 1.641 states/eV per atom
energy relative to the lowest polymorph listed for this composition = 0 meV/atom
total moment = 0.78 μB per atom